No. 1
{"formula": "VSnHg3", "functional": "PBE", "state": "optimized geometry", "crystal_system": "cubic", "magnetic_moment_mub_per_cell": 2.53, "de_polymorph_mev_per_atom": 0, "n_ef_per_ev_cell": 5.02, "lattice": [[5.266, 0.000, 0.000], [0.000, 5.266, 0.000], [0.000, 0.000, 5.266]], "species": ["V", "Sn", "Hg", "Hg", "Hg"], "fractional_positions": [[0.000, 0.000, 0.000], [0.500, 0.500, 0.500], [0.000, 0.000, 0.500], [0.000, 0.500, 0.000], [0.500, 0.000, 0.000]]}



No. 2
{"formula": "Mg2TaPt", "functional": "PBE", "state": "optimized geometry", "crystal_system": "monoclinic", "magnetic_moment_mub_per_cell": 0.00, "de_polymorph_mev_per_atom": 111, "n_ef_per_ev_cell": 2.33, "lattice": [[4.749, -1.431, 0.000], [4.749, 1.431, 0.000], [-0.768, 0.000, 5.272]], "species": ["Mg", "Mg", "Ta", "Pt"], "fractional_positions": [[0.000, 0.000, 0.000], [0.239, 0.239, 0.774], [0.760, 0.760, 0.295], [0.508, 0.508, 0.483]]}



No. 3
{"formula": "CaAc3Ag8", "functional": "PBE", "state": "optimized geometry", "crystal_system": "trigonal", "magnetic_moment_mub_per_cell": 0.00, "n_ef_per_ev_cell": 8.08, "lattice": [[2.980, 1.721, 9.639], [-2.980, 1.721, 9.639], [0.000, -3.441, 9.639]], "species": ["Ca", "Ac", "Ac", "Ac", "Ag", "Ag", "Ag", "Ag", "Ag", "Ag", "Ag", "Ag"], "fractional_positions": [[0.000, 0.000, 0.000], [0.371, 0.371, 0.371], [0.497, 0.497, 0.497], [0.876, 0.876, 0.876], [0.186, 0.186, 0.186], [0.432, 0.936, 0.936], [0.439, 0.439, 0.934], [0.439, 0.934, 0.439], [0.685, 0.685, 0.685], [0.934, 0.439, 0.439], [0.936, 0.432, 0.936], [0.936, 0.936, 0.432]]}



no.,formation enthalpy at 0 K (eV per atom)
1,0.610
2,-0.174
3,-0.177